18
Lattice="6.196 0.000 0.000 0.000 6.196 0.000 0.000 0.000 11.490" Properties=species:S:1:pos:R:3 comment="Dy2WS6 (GGA-PBE, optimized geometry)" raw_formation_energy_ev_per_atom=-1.127 e_tot_ev_per_atom=-6.341 pbc="T T T"
Dy 0.000 0.000 1.940
Dy 0.000 0.000 9.550
Dy 3.098 3.098 3.805
Dy 3.098 3.098 7.685
W 0.000 0.000 5.745
W 3.098 3.098 0.000
S 1.177 1.177 4.071
S 1.177 1.177 7.420
S 1.343 1.343 0.000
S 1.755 4.441 5.745
S 1.921 4.275 1.675
S 1.921 4.275 9.816
S 4.275 1.921 1.675
S 4.275 1.921 9.816
S 4.441 1.755 5.745
S 4.853 4.853 0.000
S 5.019 5.019 4.071
S 5.019 5.019 7.420

=====

10
Lattice="8.224 0.000 0.000 0.000 8.224 0.000 0.000 0.000 4.235" Properties=species:S:1:pos:R:3 comment="Te2SeS2 (GGA-PBE, optimized geometry)" raw_formation_energy_ev_per_atom=0.212 e_tot_ev_per_atom=-3.392 de_polymorph_ev_per_fu=0.63 pbc="T T T"
Te 1.976 2.136 0.000
Te 2.136 6.248 0.000
Te 6.088 1.976 0.000
Te 6.248 6.088 0.000
Se 0.000 0.000 0.000
Se 4.112 4.112 0.000
S 1.210 5.322 2.117
S 2.903 1.210 2.117
S 5.322 7.015 2.117
S 7.015 2.903 2.117

=====

3
Lattice="-1.671 1.671 4.574 1.671 -1.671 4.574 1.671 1.671 -4.574" Properties=species:S:1:pos:R:3 comment="HfAlTc (GGA-PBE, optimized geometry)" e_tot_ev_per_atom=-8.496 de_polymorph_ev_per_fu=0.09 pbc="T T T"
Hf 0.000 0.000 0.000
Al 0.000 0.000 2.816
Tc 0.000 0.000 6.056